No. 1
A geometry-optimized Y4CdAu2 structure. Source: the Alexandria database, functional PBE.

Cell lengths 4.9213, 4.9213, 28.5086 Å; angles 90.00, 90.00, 120.00 degrees
Space group R-3m (No. 166, hexagonal axes)
Symmetry-distinct sites (fractional):
Y  0.0000  0.0000  0.1155 [6 per cell]
Y  0.0000  0.0000  0.2968 [6 per cell]
Cd  0.0000  0.0000  0.5000 [3 per cell]
Au  0.0000  0.0000  0.4002 [6 per cell]

Calculated values
DOS(E_F)   1.119 states/eV per atom
V   199.3 Å³/f.u.
Polymorph energy (0 for the lowest one)   112.6 meV/atom
DFT total energy   -5.176 eV per atom



No. 2
A geometry-optimized Y2CdAu structure. Source: the Alexandria database, functional PBE.

Cell lengths 3.6892, 3.6892, 7.2965 Å; angles 90.00, 90.00, 90.00 degrees
Space group P4/mmm (No. 123)
Symmetry-distinct sites (fractional):
Y  0.0000  0.0000  0.2378 [2 per cell]
Cd  0.5000  0.5000  0.5000 [1 per cell]
Au  0.5000  0.5000  0.0000 [1 per cell]

Calculated values
DOS(E_F)   0.791 states/eV per atom
V   99.3 Å³/f.u.
DFT total energy   -4.886 eV per atom



No. 3
A geometry-optimized YCd2Au2 structure. Source: the Alexandria database, functional PBE.

Cell lengths 7.5725, 7.5725, 3.9661 Å; angles 90.00, 90.00, 90.00 degrees
Space group P4/mbm (No. 127)
Symmetry-distinct sites (fractional):
Y  0.0000  0.0000  0.0000 [2 per cell]
Cd  0.1683  0.3317  0.5000 [4 per cell]
Au  0.1318  0.6318  0.0000 [4 per cell]

Calculated values
DOS(E_F)   0.578 states/eV per atom
V   113.7 Å³/f.u.
Polymorph energy (0 for the lowest one)   110.7 meV/atom
DFT total energy   -3.331 eV per atom



No. 4
A geometry-optimized YCdAu2 structure. Source: the Alexandria database, functional PBE.

Cell lengths 3.9529, 4.6485, 4.7461 Å; angles 90.00, 90.81, 90.00 degrees
Space group P2/m (No. 10)
Symmetry-distinct sites (fractional):
Y  0.0000  0.0000  0.0000 [1 per cell]
Cd  0.0000  0.5000  0.5000 [1 per cell]
Au  0.5000  0.0000  0.5000 [1 per cell]
Au  0.5000  0.5000  0.0000 [1 per cell]

Calculated values
DOS(E_F)   0.606 states/eV per atom
V   87.2 Å³/f.u.
DFT total energy   -4.013 eV per atom



No. 5
A geometry-optimized Y11Cd9Au4 structure. Source: the Alexandria database, functional PBE.

Cell lengths 14.7899, 22.1481, 3.7067 Å; angles 90.00, 90.00, 90.00 degrees
Space group Cmmm (No. 65)
Symmetry-distinct sites (fractional):
Y  0.0000  0.0000  0.0000 [2 per cell]
Y  0.0000  0.1637  0.0000 [4 per cell]
Y  0.0000  0.3647  0.0000 [4 per cell]
Y  0.2051  0.5000  0.0000 [4 per cell]
Y  0.2424  0.1714  0.0000 [8 per cell]
Cd  0.0000  0.5000  0.5000 [2 per cell]
Cd  0.1059  0.2597  0.5000 [8 per cell]
Cd  0.1378  0.0734  0.5000 [8 per cell]
Au  0.1492  0.4009  0.5000 [8 per cell]

Calculated values
DOS(E_F)   0.778 states/eV per atom
V   607.1 Å³/f.u.
DFT total energy   -4.387 eV per atom



No. 6
A geometry-optimized YCdAu3 structure. Source: the Alexandria database, functional PBE.

Cell lengths 4.7985, 6.3003, 7.1704 Å; angles 90.00, 90.00, 90.00 degrees
Space group Pmmn (No. 59, origin choice 2)
Symmetry-distinct sites (fractional):
Y  0.2500  0.2500  0.1834 [2 per cell]
Cd  0.2500  0.7500  0.4523 [2 per cell]
Au  0.2500  0.0325  0.7537 [4 per cell]
Au  0.2500  0.7500  0.0687 [2 per cell]

Calculated values
DOS(E_F)   0.469 states/eV per atom
V   108.4 Å³/f.u.
Polymorph energy (0 for the lowest one)   0.0 meV/atom
DFT total energy   -3.967 eV per atom



No. 7
A geometry-optimized Y3CdAu structure. Source: the Alexandria database, functional PBE.

Cell lengths 5.1800, 19.8561, 5.1682 Å; angles 90.00, 90.00, 90.00 degrees
Space group Cmcm (No. 63)
Symmetry-distinct sites (fractional):
Y  0.0000  0.0628  0.2500 [4 per cell]
Y  0.0000  0.2493  0.2500 [4 per cell]
Y  0.0000  0.4342  0.2500 [4 per cell]
Cd  0.0000  0.1549  0.7500 [4 per cell]
Au  0.0000  0.3381  0.7500 [4 per cell]

Calculated values
DOS(E_F)   1.155 states/eV per atom
V   132.9 Å³/f.u.
Polymorph energy (0 for the lowest one)   0.0 meV/atom
DFT total energy   -5.161 eV per atom



No. 8
A geometry-optimized Y5Cd4Au structure. Source: the Alexandria database, functional PBE.

Cell lengths 3.7155, 3.7155, 18.6443 Å; angles 90.00, 90.00, 90.00 degrees
Space group P4/mmm (No. 123)
Symmetry-distinct sites (fractional):
Y  0.0000  0.0000  0.0000 [1 per cell]
Y  0.0000  0.0000  0.2038 [2 per cell]
Y  0.0000  0.0000  0.4075 [2 per cell]
Cd  0.5000  0.5000  0.1018 [2 per cell]
Cd  0.5000  0.5000  0.3028 [2 per cell]
Au  0.5000  0.5000  0.5000 [1 per cell]

Calculated values
DOS(E_F)   0.950 states/eV per atom
V   257.4 Å³/f.u.
DFT total energy   -4.381 eV per atom



No. 9
A geometry-optimized YCd3Au2 structure. Source: the Alexandria database, functional PBE.

Cell lengths 14.6890, 4.6009, 9.0827 Å; angles 90.00, 120.55, 90.00 degrees
Space group C2/m (No. 12)
Symmetry-distinct sites (fractional):
Y  0.1348  0.0000  0.0215 [4 per cell]
Cd  0.0558  0.0000  0.3831 [4 per cell]
Cd  0.0980  0.5000  0.7337 [4 per cell]
Cd  0.2135  0.5000  0.5509 [4 per cell]
Au  0.0611  0.5000  0.1796 [4 per cell]
Au  0.2242  0.0000  0.7723 [4 per cell]

Calculated values
DOS(E_F)   0.504 states/eV per atom
V   132.2 Å³/f.u.
DFT total energy   -3.017 eV per atom



No. 10
A geometry-optimized YCdAu2 structure. Source: the Alexandria database, functional PBE.

Cell lengths 3.7392, 3.7624, 6.2738 Å; angles 90.00, 90.00, 90.00 degrees
Space group Pmm2 (No. 25)
Symmetry-distinct sites (fractional):
Y  0.0000  0.0000  0.0000 [1 per cell]
Cd  0.5000  0.5000  0.6816 [1 per cell]
Au  0.0000  0.0000  0.4884 [1 per cell]
Au  0.5000  0.5000  0.2145 [1 per cell]

Calculated values
DOS(E_F)   0.613 states/eV per atom
V   88.3 Å³/f.u.
DFT total energy   -3.963 eV per atom



No. 11
A geometry-optimized YCd3Au4 structure. Source: the Alexandria database, functional PBE.

Cell lengths 9.6910, 7.0057, 4.8478 Å; angles 90.00, 90.00, 90.00 degrees
Space group Pmma (No. 51)
Symmetry-distinct sites (fractional):
Y  0.0000  0.0000  0.0000 [2 per cell]
Cd  0.0000  0.5000  0.0000 [2 per cell]
Cd  0.2500  0.0000  0.4914 [2 per cell]
Cd  0.2500  0.5000  0.4880 [2 per cell]
Au  0.0000  0.2579  0.5000 [4 per cell]
Au  0.2500  0.2579  0.9878 [4 per cell]

Calculated values
DOS(E_F)   0.201 states/eV per atom
V   164.6 Å³/f.u.
DFT total energy   -3.196 eV per atom



No. 12
A geometry-optimized YCdAu2 structure. Source: the Alexandria database, functional PBE.

Cell lengths 4.1249, 4.1249, 20.3744 Å; angles 90.00, 90.00, 120.00 degrees
Space group R3m (No. 160, hexagonal axes)
Symmetry-distinct sites (fractional):
Y  0.0000  0.0000  0.0000 [3 per cell]
Cd  0.0000  0.0000  0.1703 [3 per cell]
Au  0.0000  0.0000  0.4209 [3 per cell]
Au  0.0000  0.0000  0.5816 [3 per cell]

Calculated values
DOS(E_F)   0.588 states/eV per atom
V   100.1 Å³/f.u.
DFT total energy   -3.951 eV per atom



No. 13
A geometry-optimized YCd11Au structure. Source: the Alexandria database, functional PBE.

Cell lengths 5.8846, 14.0833, 7.6086 Å; angles 90.00, 112.73, 90.00 degrees
Space group C2/m (No. 12)
Symmetry-distinct sites (fractional):
Y  0.0000  0.0000  0.0000 [2 per cell]
Cd  0.0000  0.0000  0.5000 [2 per cell]
Cd  0.1018  0.3948  0.2133 [8 per cell]
Cd  0.1817  0.1736  0.3526 [8 per cell]
Cd  0.2500  0.2500  0.0000 [4 per cell]
Au  0.0000  0.5000  0.5000 [2 per cell]

Calculated values
DOS(E_F)   0.426 states/eV per atom
V   290.8 Å³/f.u.
DFT total energy   -1.640 eV per atom



No. 14
A geometry-optimized YCd6Au2 structure. Source: the Alexandria database, functional PBE.

Cell lengths 4.2085, 4.2085, 11.4483 Å; angles 90.00, 90.00, 90.00 degrees
Space group P4/mmm (No. 123)
Symmetry-distinct sites (fractional):
Y  0.0000  0.0000  0.0000 [1 per cell]
Cd  0.0000  0.0000  0.5000 [1 per cell]
Cd  0.0000  0.5000  0.2865 [4 per cell]
Cd  0.5000  0.5000  0.5000 [1 per cell]
Au  0.5000  0.5000  0.1168 [2 per cell]

Calculated values
DOS(E_F)   0.509 states/eV per atom
V   202.8 Å³/f.u.
DFT total energy   -2.298 eV per atom



No. 15
A geometry-optimized Y3Cd3Au2 structure. Source: the Alexandria database, functional PBE.

Cell lengths 7.7355, 7.7355, 3.7875 Å; angles 90.00, 90.00, 120.00 degrees
Space group P-62m (No. 189)
Symmetry-distinct sites (fractional):
Y  0.0000  0.5832  0.0000 [3 per cell]
Cd  0.0000  0.2252  0.5000 [3 per cell]
Au  0.3333  0.6667  0.5000 [2 per cell]

Calculated values
DOS(E_F)   0.775 states/eV per atom
V   196.3 Å³/f.u.
DFT total energy   -4.183 eV per atom



No. 16
A geometry-optimized Y4Cd2Au structure. Source: the Alexandria database, functional PBE.

Cell lengths 5.1893, 5.1893, 25.2889 Å; angles 90.00, 90.00, 120.00 degrees
Space group R-3m (No. 166, hexagonal axes)
Symmetry-distinct sites (fractional):
Y  0.0000  0.0000  0.1242 [6 per cell]
Y  0.0000  0.0000  0.3751 [6 per cell]
Cd  0.0000  0.0000  0.2476 [6 per cell]
Au  0.0000  0.0000  0.0000 [3 per cell]

Calculated values
DOS(E_F)   1.109 states/eV per atom
V   196.6 Å³/f.u.
DFT total energy   -4.723 eV per atom



No. 17
A geometry-optimized Y3CdAu structure. Source: the Alexandria database, functional PBE.

Cell lengths 5.5319, 5.5319, 5.5319 Å; angles 90.00, 90.00, 90.00 degrees
Space group Pm-3m (No. 221)
Symmetry-distinct sites (fractional):
Y  0.0000  0.0000  0.5000 [3 per cell]
Cd  0.5000  0.5000  0.5000 [1 per cell]
Au  0.0000  0.0000  0.0000 [1 per cell]

Calculated values
DOS(E_F)   1.441 states/eV per atom
V   169.3 Å³/f.u.
Polymorph energy (0 for the lowest one)   387.3 meV/atom
DFT total energy   -4.774 eV per atom



No. 18
A geometry-optimized Y3CdAu2 structure. Source: the Alexandria database, functional PBE.

Cell lengths 3.6620, 3.6620, 10.9132 Å; angles 90.00, 90.00, 90.00 degrees
Space group P4/mmm (No. 123)
Symmetry-distinct sites (fractional):
Y  0.0000  0.0000  0.0000 [1 per cell]
Y  0.0000  0.0000  0.3229 [2 per cell]
Cd  0.5000  0.5000  0.5000 [1 per cell]
Au  0.5000  0.5000  0.1665 [2 per cell]

Calculated values
DOS(E_F)   0.752 states/eV per atom
V   146.4 Å³/f.u.
DFT total energy   -5.166 eV per atom



No. 19
A geometry-optimized Y2CdAu structure. Source: the Alexandria database, functional PBE.

Cell lengths 3.8707, 3.8707, 25.7038 Å; angles 90.00, 90.00, 120.00 degrees
Space group R-3m (No. 166, hexagonal axes)
Symmetry-distinct sites (fractional):
Y  0.0000  0.0000  0.2417 [6 per cell]
Cd  0.0000  0.0000  0.0000 [3 per cell]
Au  0.0000  0.0000  0.5000 [3 per cell]

Calculated values
DOS(E_F)   1.292 states/eV per atom
V   111.2 Å³/f.u.
DFT total energy   -4.704 eV per atom



No. 20
A geometry-optimized YCdAu2 structure. Source: the Alexandria database, functional PBE.

Cell lengths 3.6536, 4.5150, 5.7517 Å; angles 90.00, 108.32, 90.00 degrees
Space group Pm (No. 6)
Symmetry-distinct sites (fractional):
Y  0.0000  0.0000  0.0000 [1 per cell]
Cd  0.3031  0.5000  0.6076 [1 per cell]
Au  0.5699  0.5000  0.1405 [1 per cell]
Au  0.7271  0.0000  0.4598 [1 per cell]

Calculated values
DOS(E_F)   0.580 states/eV per atom
V   90.1 Å³/f.u.
DFT total energy   -4.035 eV per atom